Entry 1:
# BeCoI2

A geometry-optimized BeCoI2 structure (GGA-PBE, Alexandria via LeMat-Bulk).

- V: 23.36 Å³/atom
- Formation energy (no corrections): 368.1 meV per atom
- Theoretical density: 5.72 g/cm3

```
data_BeCoI2
_chemical_formula_sum 'Be4 Co4 I8'
_space_group_name_H-M_alt 'I -4 2 d'
_space_group_IT_number 122
_space_group_name_Hall 'I -4 2bw'
_cell_length_a 5.735
_cell_length_b 5.735
_cell_length_c 11.364
_cell_angle_alpha 90.00
_cell_angle_beta 90.00
_cell_angle_gamma 90.00
loop_
_atom_site_label
_atom_site_type_symbol
_atom_site_fract_x
_atom_site_fract_y
_atom_site_fract_z
Be1 Be 0.000 0.000 0.000
Co1 Co 0.000 0.000 0.500
I1 I 0.244 0.250 0.125
```

Entry 2:
# BeCoI2

A geometry-optimized BeCoI2 structure (GGA-PBE, Alexandria via LeMat-Bulk).

- V: 21.45 Å³/atom
- Formation energy (no corrections): 1001.5 meV per atom
- Theoretical density: 6.23 g/cm3

```
data_BeCoI2
_chemical_formula_sum 'Be4 Co4 I8'
_space_group_name_H-M_alt 'F m -3 m'
_space_group_IT_number 225
_space_group_name_Hall '-F 4 2 3'
_cell_length_a 7.002
_cell_length_b 7.002
_cell_length_c 7.002
_cell_angle_alpha 90.00
_cell_angle_beta 90.00
_cell_angle_gamma 90.00
loop_
_atom_site_label
_atom_site_type_symbol
_atom_site_fract_x
_atom_site_fract_y
_atom_site_fract_z
Be1 Be 0.000 0.000 0.000
Co1 Co 0.000 0.000 0.500
I1 I 0.250 0.250 0.250
```

Entry 3:
# Be2CoI8

A geometry-optimized Be2CoI8 structure (GGA-PBE, Alexandria via LeMat-Bulk).

- V: 44.80 Å³/atom
- Formation energy (no corrections): -232.5 meV per atom
- Theoretical density: 3.68 g/cm3

```
data_Be2CoI8
_chemical_formula_sum 'Be4 Co2 I16'
_space_group_name_H-M_alt 'C 1 2/m 1'
_space_group_IT_number 12
_space_group_name_Hall '-C 2y'
_cell_length_a 11.256
_cell_length_b 12.194
_cell_length_c 7.283
_cell_angle_alpha 90.00
_cell_angle_beta 99.61
_cell_angle_gamma 90.00
loop_
_atom_site_label
_atom_site_type_symbol
_atom_site_fract_x
_atom_site_fract_y
_atom_site_fract_z
Be1 Be 0.219 0.000 0.404
Co1 Co 0.000 0.000 0.500
I1 I 0.088 0.152 0.302
I2 I 0.091 0.500 0.700
I3 I 0.211 0.000 0.731
```

Entry 4:
# BeCoI

A geometry-optimized BeCoI structure (GGA-PBE, Alexandria via LeMat-Bulk).

- V: 19.07 Å³/atom
- Formation energy (no corrections): -2.2 meV per atom
- Theoretical density: 5.66 g/cm3

```
data_BeCoI
_chemical_formula_sum 'Be2 Co2 I2'
_space_group_name_H-M_alt 'P -1'
_space_group_IT_number 2
_space_group_name_Hall '-P 1'
_cell_length_a 3.707
_cell_length_b 3.708
_cell_length_c 9.839
_cell_angle_alpha 79.36
_cell_angle_beta 79.21
_cell_angle_gamma 60.00
loop_
_atom_site_label
_atom_site_type_symbol
_atom_site_fract_x
_atom_site_fract_y
_atom_site_fract_z
Be1 Be 0.169 0.168 0.493
Co1 Co 0.460 0.462 0.619
I1 I 0.262 0.258 0.217
```

Entry 5:
# BeCoI

A geometry-optimized BeCoI structure (GGA-PBE, Alexandria via LeMat-Bulk).

- V: 18.55 Å³/atom
- Formation energy (no corrections): 825.4 meV per atom
- Theoretical density: 5.81 g/cm3

```
data_BeCoI
_chemical_formula_sum 'Be2 Co2 I2'
_space_group_name_H-M_alt 'P 4/n m m'
_space_group_IT_number 129
_cell_length_a 5.150
_cell_length_b 5.150
_cell_length_c 4.197
_cell_angle_alpha 90.00
_cell_angle_beta 90.00
_cell_angle_gamma 90.00
loop_
_space_group_symop_operation_xyz
'x,y,z'
'-x,-y,-z'
'-y+1/2,x,z'
'y+1/2,-x,-z'
'-x+1/2,-y+1/2,z'
'x+1/2,y+1/2,-z'
'y,-x+1/2,z'
'-y,x+1/2,-z'
'x+1/2,-y,-z'
'-x+1/2,y,z'
'-y,-x,-z'
'y,x,z'
'-x,y+1/2,-z'
'x,-y+1/2,z'
'y+1/2,x+1/2,-z'
'-y+1/2,-x+1/2,z'
loop_
_atom_site_label
_atom_site_type_symbol
_atom_site_fract_x
_atom_site_fract_y
_atom_site_fract_z
Be1 Be 0.250 0.250 0.082
Co1 Co 0.250 0.250 0.590
I1 I 0.250 0.750 0.500
```

Entry 6:
# BeCoI

A geometry-optimized BeCoI structure (GGA-PBE, Alexandria via LeMat-Bulk).

- V: 20.85 Å³/atom
- Formation energy (no corrections): 313.0 meV per atom
- Theoretical density: 5.17 g/cm3

```
data_BeCoI
_chemical_formula_sum 'Be4 Co4 I4'
_space_group_name_H-M_alt 'P n m a'
_space_group_IT_number 62
_space_group_name_Hall '-P 2ac 2n'
_cell_length_a 8.701
_cell_length_b 3.738
_cell_length_c 7.695
_cell_angle_alpha 90.00
_cell_angle_beta 90.00
_cell_angle_gamma 90.00
loop_
_atom_site_label
_atom_site_type_symbol
_atom_site_fract_x
_atom_site_fract_y
_atom_site_fract_z
Be1 Be 0.059 0.250 0.008
Co1 Co 0.168 0.750 0.093
I1 I 0.181 0.250 0.321
```

Entry 7:
# BeCo2I

A geometry-optimized BeCo2I structure (GGA-PBE, Alexandria via LeMat-Bulk).

- V: 14.77 Å³/atom
- Formation energy (no corrections): 727.3 meV per atom
- Theoretical density: 7.13 g/cm3

```
data_BeCo2I
_chemical_formula_sum 'Be4 Co8 I4'
_space_group_name_H-M_alt 'I -4 2 d'
_space_group_IT_number 122
_space_group_name_Hall 'I -4 2bw'
_cell_length_a 3.896
_cell_length_b 3.896
_cell_length_c 15.570
_cell_angle_alpha 90.00
_cell_angle_beta 90.00
_cell_angle_gamma 90.00
loop_
_atom_site_label
_atom_site_type_symbol
_atom_site_fract_x
_atom_site_fract_y
_atom_site_fract_z
Be1 Be 0.000 0.000 0.000
Co1 Co 0.191 0.250 0.125
I1 I 0.000 0.000 0.500
```

Entry 8:
# BeCoI

A geometry-optimized BeCoI structure (GGA-PBE, Alexandria via LeMat-Bulk).

- V: 19.72 Å³/atom
- Formation energy (no corrections): 74.3 meV per atom
- Theoretical density: 5.47 g/cm3

```
data_BeCoI
_chemical_formula_sum 'Be2 Co2 I2'
_space_group_name_H-M_alt 'P 1'
_space_group_IT_number 1
_space_group_name_Hall 'P 1'
_cell_length_a 3.559
_cell_length_b 3.582
_cell_length_c 9.397
_cell_angle_alpha 80.92
_cell_angle_beta 89.88
_cell_angle_gamma 90.00
loop_
_atom_site_label
_atom_site_type_symbol
_atom_site_fract_x
_atom_site_fract_y
_atom_site_fract_z
Be1 Be 0.000 0.000 0.000
Be2 Be 0.001 0.564 0.850
Co1 Co 0.500 0.518 0.000
Co2 Co 0.501 0.062 0.831
I1 I 0.003 0.253 0.623
I2 I 0.500 0.931 0.211
```

Entry 9:
# BeCoI

A geometry-optimized BeCoI structure (GGA-PBE, Alexandria via LeMat-Bulk).

- V: 18.68 Å³/atom
- Formation energy (no corrections): 23.0 meV per atom
- Theoretical density: 5.77 g/cm3

```
data_BeCoI
_chemical_formula_sum 'Be4 Co4 I4'
_space_group_name_H-M_alt 'C 1 m 1'
_space_group_IT_number 8
_space_group_name_Hall 'C -2y'
_cell_length_a 6.462
_cell_length_b 3.730
_cell_length_c 9.551
_cell_angle_alpha 90.00
_cell_angle_beta 103.13
_cell_angle_gamma 90.00
loop_
_atom_site_label
_atom_site_type_symbol
_atom_site_fract_x
_atom_site_fract_y
_atom_site_fract_z
Be1 Be 0.000 0.000 0.000
Be2 Be 0.208 0.500 0.122
Co1 Co 0.129 0.500 0.886
Co2 Co 0.350 0.000 0.051
I1 I 0.409 0.500 0.730
I2 I 0.439 0.000 0.316
```

Entry 10:
# BeCo2I

A geometry-optimized BeCo2I structure (GGA-PBE, Alexandria via LeMat-Bulk).

- V: 13.07 Å³/atom
- Formation energy (no corrections): 738.7 meV per atom
- Theoretical density: 8.06 g/cm3

```
data_BeCo2I
_chemical_formula_sum 'Be4 Co8 I4'
_space_group_name_H-M_alt 'F m -3 m'
_space_group_IT_number 225
_space_group_name_Hall '-F 4 2 3'
_cell_length_a 5.936
_cell_length_b 5.936
_cell_length_c 5.936
_cell_angle_alpha 90.00
_cell_angle_beta 90.00
_cell_angle_gamma 90.00
loop_
_atom_site_label
_atom_site_type_symbol
_atom_site_fract_x
_atom_site_fract_y
_atom_site_fract_z
Be1 Be 0.000 0.000 0.000
Co1 Co 0.250 0.250 0.250
I1 I 0.000 0.000 0.500
```

Entry 11:
# BeCoI

A geometry-optimized BeCoI structure (GGA-PBE, Alexandria via LeMat-Bulk).

- V: 15.48 Å³/atom
- Formation energy (no corrections): 972.0 meV per atom
- Theoretical density: 6.97 g/cm3

```
data_BeCoI
_chemical_formula_sum 'Be2 Co2 I2'
_space_group_name_H-M_alt 'P 63/m m c'
_space_group_IT_number 194
_space_group_name_Hall '-P 6c 2c'
_cell_length_a 4.5383
_cell_length_b 4.5383
_cell_length_c 5.2067
_cell_angle_alpha 90.00
_cell_angle_beta 90.00
_cell_angle_gamma 120.00
loop_
_atom_site_label
_atom_site_type_symbol
_atom_site_fract_x
_atom_site_fract_y
_atom_site_fract_z
Be1 Be 0.0000 0.0000 0.0000
Co1 Co 0.3333 0.6667 0.2500
I1 I 0.3333 0.6667 0.7500
```

Entry 12:
# BeCoI

A geometry-optimized BeCoI structure (GGA-PBE, Alexandria via LeMat-Bulk).

- V: 18.96 Å³/atom
- Formation energy (no corrections): -2.7 meV per atom
- Theoretical density: 5.69 g/cm3

```
data_BeCoI
_chemical_formula_sum 'Be4 Co4 I4'
_space_group_name_H-M_alt 'C 1 m 1'
_space_group_IT_number 8
_space_group_name_Hall 'C -2y'
_cell_length_a 6.416
_cell_length_b 3.705
_cell_length_c 9.812
_cell_angle_alpha 90.00
_cell_angle_beta 102.69
_cell_angle_gamma 90.00
loop_
_atom_site_label
_atom_site_type_symbol
_atom_site_fract_x
_atom_site_fract_y
_atom_site_fract_z
Be1 Be 0.000 0.000 0.000
Be2 Be 0.167 0.500 0.000
Co1 Co 0.293 0.000 0.881
Co2 Co 0.373 0.000 0.119
I1 I 0.071 0.500 0.716
I2 I 0.262 0.500 0.284
```